First-principles (meta-GGA SCAN) data for a PBEsol-optimized structure of CuOsSe2, as listed in the Alexandria database.

Cell and atoms, written as POSCAR:
```
CuOsSe2
1.0
3.696 0.000 0.000
0.000 3.696 0.000
0.000 0.000 5.278
Cu Os Se
1 1 2
direct
0.500 0.500 0.500
0.000 0.000 0.500
0.500 0.000 0.808
0.000 0.500 0.192
```

Results
Space-group type: P-4m2 (115)
Magnetization: 0.0 μB per formula unit
Energy above the lowest structure with this stoichiometry: 0.0 meV per atom

***

First-principles (meta-GGA SCAN) data for a PBEsol-optimized structure of CuOsSe2, as listed in the Alexandria database.

Cell and atoms, written as POSCAR:
```
CuOsSe2
1.0
-0.036 1.359 2.622
-0.500 -3.731 1.927
5.939 0.618 -1.902
Cu Os Se
1 1 2
direct
0.500 0.000 0.000
0.000 0.500 0.000
0.673 0.673 0.346
0.327 0.327 0.654
```

Results
Space-group type: Immm (71)
Magnetization: 0.0 μB per formula unit
Energy above the lowest structure with this stoichiometry: 85.9 meV per atom

***

First-principles (meta-GGA SCAN) data for a PBEsol-optimized structure of CuSi2Os, as listed in the Alexandria database.

Cell and atoms, written as POSCAR:
```
CuSi2Os
1.0
-1.039 -0.875 -2.440
2.749 -0.150 0.481
-0.934 -7.379 3.044
Cu Os Si
1 1 2
direct
0.500 0.000 0.500
0.500 0.000 0.000
0.000 0.000 0.752
0.000 0.000 0.248
```

Results
Space-group type: Cmmm (65)
Magnetization: 0.0 μB per formula unit
Energy above the lowest structure with this stoichiometry: 393.4 meV per atom

***

First-principles (meta-GGA SCAN) data for a PBEsol-optimized structure of CuSi2Os, as listed in the Alexandria database.

Cell and atoms, written as POSCAR:
```
CuSi2Os
1.0
3.213 0.000 0.000
0.000 3.213 0.000
0.000 0.000 4.940
Cu Os Si
1 1 2
direct
0.000 0.000 0.460
0.500 0.500 0.779
0.000 0.000 0.983
0.500 0.500 0.278
```

Results
Space-group type: P4mm (99)
Magnetization: 0.0 μB per formula unit
Energy above the lowest structure with this stoichiometry: 0.0 meV per atom

***

First-principles (meta-GGA SCAN) data for a PBEsol-optimized structure of CuSi3Os, as listed in the Alexandria database.

Cell and atoms, written as POSCAR:
```
CuSi3Os
1.0
4.279 0.000 0.000
0.000 4.279 0.000
0.000 0.000 4.279
Si Os Cu
3 1 1
direct
0.000 0.500 0.000
0.000 0.000 0.500
0.500 0.000 0.000
0.500 0.500 0.500
0.000 0.000 0.000
```

Results
Space-group type: Pm-3m (221)
Final energy: -22.06 eV/atom
Magnetization: 0.0 μB per formula unit

***

First-principles (meta-GGA SCAN) data for a PBEsol-optimized structure of CuSiOs2, as listed in the Alexandria database.

Cell and atoms, written as POSCAR:
```
CuSiOs2
1.0
-3.499 1.217 2.007
-1.266 -2.048 3.457
0.273 1.861 3.770
Cu Os Si
1 2 1
direct
0.500 0.500 0.500
0.000 0.000 0.000
0.750 0.750 0.750
0.250 0.250 0.250
```

Results
Space-group type: F-43m (216)
Final energy: -41.88 eV/atom
Magnetization: 0.0 μB per formula unit

***

First-principles (meta-GGA SCAN) data for a PBEsol-optimized structure of CuSiOs2, as listed in the Alexandria database.

Cell and atoms, written as POSCAR:
```
CuSiOs2
1.0
-1.239 0.314 -2.390
-3.630 -2.424 1.825
0.740 4.604 1.627
Cu Os Si
1 2 1
direct
0.000 0.500 0.000
0.000 0.000 0.500
0.500 0.500 0.500
0.500 0.000 0.000
```

Results
Space-group type: C2/m (12)
Final energy: -41.93 eV/atom
Magnetization: 0.0 μB per formula unit

***

First-principles (meta-GGA SCAN) data for a PBEsol-optimized structure of CuSiOs2, as listed in the Alexandria database.

Cell and atoms, written as POSCAR:
```
CuSiOs2
1.0
2.760 0.000 0.000
1.380 2.390 0.000
1.380 0.797 7.985
Cu Os Si
1 2 1
direct
0.000 0.000 0.000
0.245 0.245 0.264
0.755 0.755 0.736
0.500 0.500 0.500
```

Results
Space-group type: R-3m (166)
Final energy: -42.15 eV/atom
Magnetization: 0.0 μB per formula unit

***

First-principles (meta-GGA SCAN) data for a PBEsol-optimized structure of CuSi2Os, as listed in the Alexandria database.

Cell and atoms, written as POSCAR:
```
CuSi2Os
1.0
4.164 0.000 0.000
0.000 2.896 0.000
0.000 0.000 4.177
Cu Os Si
1 1 2
direct
0.500 0.500 0.000
0.000 0.500 0.500
0.000 0.000 0.000
0.500 0.000 0.500
```

Results
Space-group type: Pmmm (47)
Magnetization: 0.0 μB per formula unit
Energy above the lowest structure with this stoichiometry: 142.6 meV per atom

***

First-principles (meta-GGA SCAN) data for a PBEsol-optimized structure of CuSi2Os, as listed in the Alexandria database.

Cell and atoms, written as POSCAR:
```
CuSi2Os
1.0
2.732 0.000 0.000
0.000 2.732 0.000
0.000 0.000 7.158
Cu Os Si
1 1 2
direct
0.000 0.000 0.499
0.500 0.500 0.758
0.000 0.000 0.975
0.500 0.500 0.268
```

Results
Space-group type: P4mm (99)
Magnetization: 0.0 μB per formula unit
Energy above the lowest structure with this stoichiometry: 415.1 meV per atom

***

First-principles (meta-GGA SCAN) data for a PBEsol-optimized structure of CuSi2Os, as listed in the Alexandria database.

Cell and atoms, written as POSCAR:
```
CuSi2Os
1.0
-1.719 3.168 0.185
-2.392 -1.156 -2.443
-0.160 -2.373 3.945
Cu Os Si
1 1 2
direct
0.500 0.500 0.000
0.750 0.250 0.500
0.000 0.000 0.000
0.250 0.750 0.500
```

Results
Space-group type: I-4m2 (119)
Magnetization: 0.0 μB per formula unit
Energy above the lowest structure with this stoichiometry: 123.2 meV per atom

***

First-principles (meta-GGA SCAN) data for a PBEsol-optimized structure of CuSi4Os, as listed in the Alexandria database.

Cell and atoms, written as POSCAR:
```
CuSi4Os
1.0
-3.139 -3.608 0.635
1.170 -4.481 -1.352
0.853 -3.381 3.334
Cu Os Si
1 1 4
direct
0.750 0.750 0.750
0.000 0.000 0.000
0.375 0.375 0.375
0.375 0.375 0.875
0.875 0.375 0.375
0.375 0.875 0.375
```

Results
Space-group type: F-43m (216)
Final energy: -20.44 eV/atom
Magnetization: 0.0 μB per formula unit

***

First-principles (meta-GGA SCAN) data for a PBEsol-optimized structure of SrCu2Os, as listed in the Alexandria database.

Cell and atoms, written as POSCAR:
```
SrCu2Os
1.0
2.736 0.000 -0.076
0.000 4.292 0.000
-1.200 0.000 5.745
Cu Os Sr
2 1 1
direct
0.833 0.000 0.040
0.954 0.500 0.284
0.516 0.000 0.408
0.197 0.500 0.768
```

Results
Energy of formation from the pure elements: 0.558 eV/atom
Space-group type: Pm (6)
Magnetization: 0.0 μB per formula unit
Energy above the lowest structure with this stoichiometry: 0.0 meV per atom

***

First-principles (meta-GGA SCAN) data for a PBEsol-optimized structure of SrCu2Os, as listed in the Alexandria database.

Cell and atoms, written as POSCAR:
```
SrCu2Os
1.0
-2.455 -2.296 -3.066
-1.418 -4.223 0.922
-4.413 -0.803 0.759
Cu Os Sr
2 1 1
direct
0.000 0.000 0.000
0.750 0.750 0.750
0.500 0.500 0.500
0.250 0.250 0.250
```

Results
Energy of formation from the pure elements: 1.034 eV/atom
Space-group type: F-43m (216)
Magnetization: 0.4 μB per formula unit
Energy above the lowest structure with this stoichiometry: 476.2 meV per atom

***

First-principles (meta-GGA SCAN) data for a PBEsol-optimized structure of SrTlCu2Os, as listed in the Alexandria database.

Cell and atoms, written as POSCAR:
```
SrTlCu2Os
1.0
-0.070 4.879 -0.920
-4.825 -0.283 -1.137
-1.175 0.882 4.766
Sr Tl Os Cu
1 1 1 2
direct
0.000 0.000 0.000
0.500 0.500 0.500
0.000 0.000 0.500
0.000 0.500 0.000
0.500 0.000 0.000
```

Results
Energy of formation from the pure elements: 2.143 eV/atom
Space-group type: P4/mmm (123)
Magnetization: 1.9 μB per formula unit

***

First-principles (meta-GGA SCAN) data for a PBEsol-optimized structure of TaCuOs2, as listed in the Alexandria database.

Cell and atoms, written as POSCAR:
```
TaCuOs2
1.0
-2.294 -1.389 1.322
2.482 -0.875 3.386
-1.243 3.871 1.912
Cu Os Ta
1 2 1
direct
0.000 0.500 0.500
0.000 0.000 0.000
0.500 0.000 0.500
0.500 0.500 0.000
```

Results
Energy of formation from the pure elements: 0.242 eV/atom
Space-group type: Pmmm (47)
Magnetization: 0.0 μB per formula unit

***

First-principles (meta-GGA SCAN) data for a PBEsol-optimized structure of CuTcOs2, as listed in the Alexandria database.

Cell and atoms, written as POSCAR:
```
CuTcOs2
1.0
3.693 0.000 0.000
0.000 3.693 0.000
-1.847 -1.847 3.936
Cu Os Tc
1 2 1
direct
0.250 0.750 0.500
0.000 0.000 0.000
0.750 0.250 0.500
0.500 0.500 0.000
```

Results
Energy of formation from the pure elements: 0.320 eV/atom
Space-group type: I-4m2 (119)
Magnetization: 0.0 μB per formula unit
Energy above the lowest structure with this stoichiometry: 109.7 meV per atom

***

First-principles (meta-GGA SCAN) data for a PBEsol-optimized structure of Cu2TcOs, as listed in the Alexandria database.

Cell and atoms, written as POSCAR:
```
Cu2TcOs
1.0
-0.239 -2.516 -0.728
4.524 -0.453 0.084
-0.827 0.151 4.498
Cu Os Tc
2 1 1
direct
0.249 0.250 0.498
0.751 0.750 0.502
0.500 0.000 0.000
0.000 0.500 0.000
```

Results
Energy of formation from the pure elements: 0.290 eV/atom
Space-group type: C2/m (12)
Magnetization: 0.0 μB per formula unit
Energy above the lowest structure with this stoichiometry: 0.0 meV per atom

***

First-principles (meta-GGA SCAN) data for a PBEsol-optimized structure of CuTcOs2, as listed in the Alexandria database.

Cell and atoms, written as POSCAR:
```
CuTcOs2
1.0
-2.103 -1.047 3.548
-1.020 -4.063 0.749
1.980 -2.156 3.089
Cu Os Tc
1 2 1
direct
0.500 0.500 0.500
0.000 0.000 0.000
0.750 0.750 0.750
0.250 0.250 0.250
```

Results
Energy of formation from the pure elements: 0.480 eV/atom
Space-group type: F-43m (216)
Magnetization: 0.0 μB per formula unit
Energy above the lowest structure with this stoichiometry: 270.6 meV per atom

***

First-principles (meta-GGA SCAN) data for a PBEsol-optimized structure of CuTcOs2, as listed in the Alexandria database.

Cell and atoms, written as POSCAR:
```
CuTcOs2
1.0
2.628 -0.001 0.000
-1.194 2.342 0.000
0.000 0.000 9.005
Cu Os Tc
1 2 1
direct
0.500 0.500 0.251
0.000 0.000 0.004
0.500 0.500 0.747
0.000 0.000 0.499
```

Results
Energy of formation from the pure elements: 0.534 eV/atom
Space-group type: Cmm2 (35)
Magnetization: 0.0 μB per formula unit
Energy above the lowest structure with this stoichiometry: 324.1 meV per atom